[1]
4
Lattice="2.723 0.000 0.000 0.000 3.883 0.000 0.000 0.000 5.498" Properties=species:S:1:pos:R:3 comment="MoPt2Rh GGA-PBEsol optimized geometry" ef_ev_per_fu=-1.0 m_tot_mub_per_fu=0.0 de_polymorph_mev_per_atom=22 crystal_system=orthorhombic pbc="T T T"
Mo 0.000 0.000 0.000
Pt 0.000 0.000 2.818
Pt 1.361 1.942 1.385
Rh 1.361 1.942 4.216

---

[2]
8
Lattice="5.389 0.000 0.000 0.000 7.993 0.000 0.000 0.000 2.697" Properties=species:S:1:pos:R:3 comment="Mo2PtRh GGA-PBEsol optimized geometry" ef_ev_per_fu=-1.0 m_tot_mub_per_fu=0.0 de_polymorph_mev_per_atom=48 crystal_system=orthorhombic pbc="T T T"
Mo 1.347 1.998 0.000
Mo 1.347 5.994 0.000
Mo 4.042 1.998 0.000
Mo 4.042 5.994 0.000
Pt 0.000 0.000 1.348
Pt 2.695 3.996 1.348
Rh 0.000 3.996 1.348
Rh 2.695 0.000 1.348

---

[3]
6
Lattice="2.723 0.000 0.000 0.000 2.723 0.000 0.000 0.000 11.667" Properties=species:S:1:pos:R:3 comment="MoPtRh GGA-PBEsol optimized geometry" ef_ev_per_fu=-0.8 m_tot_mub_per_fu=0.0 de_polymorph_mev_per_atom=47 crystal_system=tetragonal pbc="T T T"
Mo 0.000 0.000 0.000
Mo 1.362 1.362 5.833
Pt 0.000 0.000 7.791
Pt 1.362 1.362 1.957
Rh 0.000 0.000 4.009
Rh 1.362 1.362 9.843

---

[4]
4
Lattice="2.713 0.000 0.000 0.000 4.412 0.000 0.000 0.000 4.845" Properties=species:S:1:pos:R:3 comment="Mo2PtRh GGA-PBEsol optimized geometry" ef_ev_per_fu=-1.2 m_tot_mub_per_fu=0.0 de_polymorph_mev_per_atom=0 crystal_system=orthorhombic pbc="T T T"
Mo 0.000 0.000 0.000
Mo 0.000 2.206 1.618
Pt 1.356 2.206 4.033
Rh 1.356 0.000 2.402

---

[5]
8
Lattice="9.052 0.000 0.000 0.000 2.707 0.000 -0.796 0.000 4.784" Properties=species:S:1:pos:R:3 comment="Mo2PtRh GGA-PBEsol optimized geometry" ef_ev_per_fu=-0.7 m_tot_mub_per_fu=0.0 de_polymorph_mev_per_atom=127 crystal_system=monoclinic pbc="T T T"
Mo 0.000 0.000 0.000
Mo 1.682 0.000 3.403
Mo 4.526 1.354 0.000
Mo 6.208 1.354 3.403
Pt 4.132 0.000 2.341
Pt 8.658 1.354 2.341
Rh 2.057 1.354 1.012
Rh 6.583 0.000 1.012

---

[6]
4
Lattice="3.817 0.000 0.000 0.000 3.817 0.000 0.000 0.000 3.986" Properties=species:S:1:pos:R:3 comment="Mo2PtRh GGA-PBEsol optimized geometry" ef_ev_per_fu=-1.1 m_tot_mub_per_fu=0.0 de_polymorph_mev_per_atom=33 crystal_system=tetragonal pbc="T T T"
Mo 0.000 1.908 0.000
Mo 1.908 0.000 0.000
Pt 0.000 0.000 1.993
Rh 1.908 1.908 1.993

---

[7]
12
Lattice="5.900 0.000 0.000 0.000 5.900 0.000 0.000 0.000 5.900" Properties=species:S:1:pos:R:3 comment="MoPtRh GGA-PBEsol optimized geometry" ef_ev_per_fu=1.5 m_tot_mub_per_fu=0.0 de_polymorph_mev_per_atom=827 crystal_system=cubic pbc="T T T"
Mo 0.000 0.000 0.000
Mo 0.000 2.950 2.950
Mo 2.950 0.000 2.950
Mo 2.950 2.950 0.000
Pt 0.000 0.000 2.950
Pt 0.000 2.950 0.000
Pt 2.950 0.000 0.000
Pt 2.950 2.950 2.950
Rh 1.475 1.475 4.425
Rh 1.475 4.425 1.475
Rh 4.425 1.475 1.475
Rh 4.425 4.425 4.425

---

[8]
4
Lattice="2.698 0.000 0.000 0.000 3.984 0.000 0.000 0.000 5.404" Properties=species:S:1:pos:R:3 comment="Mo2PtRh GGA-PBEsol optimized geometry" ef_ev_per_fu=-1.1 m_tot_mub_per_fu=0.0 de_polymorph_mev_per_atom=40 crystal_system=orthorhombic pbc="T T T"
Mo 0.000 0.000 1.307
Mo 0.000 0.000 4.097
Pt 1.349 1.992 2.702
Rh 1.349 1.992 0.000

---

[9]
8
Lattice="8.982 0.000 0.000 0.000 2.697 0.000 -0.816 0.000 4.680" Properties=species:S:1:pos:R:3 comment="MoRu2Pt GGA-PBEsol optimized geometry" ef_ev_per_fu=-0.1 m_tot_mub_per_fu=0.0 de_polymorph_mev_per_atom=124 crystal_system=monoclinic pbc="T T T"
Mo 0.000 0.000 0.000
Mo 4.491 1.349 0.000
Ru 2.021 1.349 1.125
Ru 1.654 0.000 3.555
Ru 6.512 0.000 1.125
Ru 6.145 1.349 3.555
Pt -0.408 1.349 2.340
Pt 4.083 0.000 2.340

---

[10]
4
Lattice="3.863 0.000 0.000 0.000 3.863 0.000 0.000 0.000 3.769" Properties=species:S:1:pos:R:3 comment="MoRu2Pt GGA-PBEsol optimized geometry" ef_ev_per_fu=-0.6 m_tot_mub_per_fu=0.0 de_polymorph_mev_per_atom=0 crystal_system=tetragonal pbc="T T T"
Mo 0.000 0.000 0.000
Ru 0.000 1.931 1.884
Ru 1.931 0.000 1.884
Pt 1.931 1.931 0.000

---

[11]
8
Lattice="3.824 0.000 0.000 0.000 3.824 0.000 0.000 0.000 7.711" Properties=species:S:1:pos:R:3 comment="MoRu2Pt GGA-PBEsol optimized geometry" ef_ev_per_fu=-0.4 m_tot_mub_per_fu=0.0 de_polymorph_mev_per_atom=45 crystal_system=tetragonal pbc="T T T"
Mo 0.000 0.000 0.000
Mo 1.912 1.912 3.855
Ru 0.000 0.000 3.855
Ru 0.000 1.912 1.928
Ru 1.912 0.000 5.783
Ru 1.912 1.912 0.000
Pt 0.000 1.912 5.783
Pt 1.912 0.000 1.928

---

[12]
8
Lattice="3.879 0.000 0.000 0.000 3.879 0.000 0.000 0.000 7.510" Properties=species:S:1:pos:R:3 comment="MoRu2Pt GGA-PBEsol optimized geometry" ef_ev_per_fu=-0.3 m_tot_mub_per_fu=0.0 de_polymorph_mev_per_atom=71 crystal_system=tetragonal pbc="T T T"
Mo 0.000 0.000 0.000
Mo 1.939 1.939 3.755
Ru 0.000 1.939 1.878
Ru 0.000 1.939 5.633
Ru 1.939 0.000 1.878
Ru 1.939 0.000 5.633
Pt 0.000 0.000 3.755
Pt 1.939 1.939 0.000

---

[13]
4
Lattice="2.697 0.000 0.000 0.000 3.868 0.000 0.000 0.000 5.437" Properties=species:S:1:pos:R:3 comment="MoRu2Pt GGA-PBEsol optimized geometry" ef_ev_per_fu=-0.3 m_tot_mub_per_fu=0.0 de_polymorph_mev_per_atom=73 crystal_system=orthorhombic pbc="T T T"
Mo 0.000 0.000 0.000
Ru 0.000 0.000 2.907
Ru 1.349 1.934 4.083
Pt 1.349 1.934 1.433

---

[14]
5
Lattice="4.323 0.000 0.000 0.000 4.323 0.000 0.000 0.000 4.323" Properties=species:S:1:pos:R:3 comment="Mo3PtS GGA-PBEsol optimized geometry" m_tot_mub_per_fu=0.0 formation_energy_uncorrected_kcal_per_mol_atoms=10.2 crystal_system=cubic pbc="T T T"
Mo 0.000 0.000 2.162
Mo 0.000 2.162 0.000
Mo 2.162 0.000 0.000
Pt 2.162 2.162 2.162
S 0.000 0.000 0.000

---

[15]
5
Lattice="4.914 0.000 0.000 0.000 4.914 0.000 0.000 0.000 4.907" Properties=species:S:1:pos:R:3 comment="SbMoPtS2 GGA-PBEsol optimized geometry" m_tot_mub_per_fu=3.6 formation_energy_uncorrected_kcal_per_mol_atoms=29.9 crystal_system=tetragonal pbc="T T T"
Sb 0.000 0.000 0.000
Mo 2.457 2.457 2.454
Pt 0.000 0.000 2.454
S 0.000 2.457 0.000
S 2.457 0.000 0.000

---

[16]
8
Lattice="5.594 0.000 0.000 0.000 7.952 0.000 0.000 0.000 2.802" Properties=species:S:1:pos:R:3 comment="ScMoPt2 GGA-PBEsol optimized geometry" ef_ev_per_fu=-2.6 m_tot_mub_per_fu=0.0 crystal_system=orthorhombic pbc="T T T"
Sc 0.000 0.000 0.000
Sc 2.797 3.976 0.000
Mo 0.000 3.976 0.000
Mo 2.797 0.000 0.000
Pt 1.398 1.988 1.401
Pt 1.398 5.964 1.401
Pt 4.195 1.988 1.401
Pt 4.195 5.964 1.401

---

[17]
6
Lattice="0.000 3.670 3.670 3.670 0.000 3.670 3.670 3.670 0.000" Properties=species:S:1:pos:R:3 comment="ScMoPt4 GGA-PBEsol optimized geometry" ef_ev_per_fu=-1.8 m_tot_mub_per_fu=2.4 crystal_system=cubic pbc="T T T"
Sc 0.000 0.000 0.000
Mo 1.835 1.835 1.835
Pt 4.585 2.755 2.755
Pt 2.755 4.585 2.755
Pt 2.755 2.755 4.585
Pt 4.585 4.585 4.585

---

[18]
5
Lattice="4.737 0.000 0.000 0.000 4.737 0.000 0.000 0.000 4.684" Properties=species:S:1:pos:R:3 comment="TaMo2PtSe GGA-PBEsol optimized geometry" m_tot_mub_per_fu=0.1 formation_energy_uncorrected_kcal_per_mol_atoms=41.3 crystal_system=tetragonal pbc="T T T"
Ta 0.000 0.000 0.000
Mo 0.000 2.368 0.000
Mo 2.368 0.000 0.000
Pt 2.368 2.368 2.342
Se 0.000 0.000 2.342

---

[19]
12
Lattice="3.490 0.000 0.000 0.000 9.131 0.000 0.000 0.000 5.460" Properties=species:S:1:pos:R:3 comment="Si3MoPt2 GGA-PBEsol optimized geometry" m_tot_mub_per_fu=0.0 formation_energy_uncorrected_kcal_per_mol_atoms=-16.2 crystal_system=orthorhombic pbc="T T T"
Si 0.000 0.591 0.000
Si 0.000 2.534 2.670
Si 0.000 6.597 5.400
Si 0.000 8.540 2.730
Si 1.745 3.424 4.526
Si 1.745 5.708 1.795
Mo 1.745 0.958 3.676
Mo 1.745 8.173 0.946
Pt 0.000 4.271 0.915
Pt 0.000 4.860 3.645
Pt 1.745 1.952 0.948
Pt 1.745 7.179 3.679

---

[20]
12
Lattice="2.854 0.000 0.000 -1.427 2.472 0.000 0.000 0.000 23.934" Properties=species:S:1:pos:R:3 comment="Si2MoPt GGA-PBEsol optimized geometry" m_tot_mub_per_fu=0.0 formation_energy_uncorrected_kcal_per_mol_atoms=-6.1 crystal_system=trigonal pbc="T T T"
Si 0.000 0.000 5.992
Si 0.000 0.000 17.943
Si 0.000 1.648 9.965
Si 0.000 1.648 21.948
Si 1.427 0.824 1.987
Si 1.427 0.824 13.970
Mo 0.000 0.000 0.000
Mo 0.000 1.648 15.956
Mo 1.427 0.824 7.978
Pt 0.000 0.000 11.967
Pt 0.000 1.648 3.989
Pt 1.427 0.824 19.945

---

[21]
32
Lattice="5.498 0.000 0.000 0.000 3.490 0.000 0.000 0.000 24.302" Properties=species:S:1:pos:R:3 comment="Si4MoPt3 GGA-PBEsol optimized geometry" m_tot_mub_per_fu=0.0 formation_energy_uncorrected_kcal_per_mol_atoms=-16.4 crystal_system=orthorhombic pbc="T T T"
Si 0.883 0.873 2.662
Si 0.921 0.873 17.640
Si 0.984 0.873 11.671
Si 0.983 0.873 20.755
Si 1.766 2.618 8.604
Si 1.765 2.618 23.822
Si 1.828 2.618 5.489
Si 1.866 2.618 14.813
Si 3.633 0.873 9.489
Si 3.670 0.873 18.813
Si 3.733 0.873 0.480
Si 3.732 0.873 15.699
Si 4.515 2.618 3.547
Si 4.514 2.618 12.632
Si 4.577 2.618 6.662
Si 4.615 2.618 21.640
Mo 0.034 0.873 5.108
Mo 2.715 2.618 17.259
Mo 2.783 0.873 7.043
Mo 5.464 2.618 19.194
Pt 0.002 0.873 13.972
Pt 5.497 0.873 23.137
Pt 0.001 2.618 1.166
Pt 5.496 2.618 10.330
Pt 0.032 0.873 8.026
Pt 2.717 2.618 20.177
Pt 2.748 0.873 13.317
Pt 2.751 0.873 22.481
Pt 2.747 2.618 1.821
Pt 2.750 2.618 10.985
Pt 2.781 0.873 4.125
Pt 5.466 2.618 16.276

---

[22]
8
Lattice="5.057 0.000 0.000 0.000 8.300 0.000 0.000 0.000 2.753" Properties=species:S:1:pos:R:3 comment="SiMo2Pt GGA-PBEsol optimized geometry" m_tot_mub_per_fu=0.0 formation_energy_uncorrected_kcal_per_mol_atoms=-5.3 crystal_system=orthorhombic pbc="T T T"
Si 0.000 0.000 0.000
Si 2.529 4.150 0.000
Mo 1.264 2.075 1.377
Mo 1.264 6.225 1.377
Mo 3.793 2.075 1.377
Mo 3.793 6.225 1.377
Pt 0.000 4.150 0.000
Pt 2.529 0.000 0.000

---

[23]
8
Lattice="3.828 0.000 0.000 0.000 3.828 0.000 0.000 0.000 7.912" Properties=species:S:1:pos:R:3 comment="SiMo2Pt GGA-PBEsol optimized geometry" m_tot_mub_per_fu=0.0 formation_energy_uncorrected_kcal_per_mol_atoms=-4.2 crystal_system=tetragonal pbc="T T T"
Si 0.000 0.000 0.000
Si 1.914 1.914 3.956
Mo 0.000 0.000 3.956
Mo 0.000 1.914 1.978
Mo 1.914 0.000 5.934
Mo 1.914 1.914 0.000
Pt 0.000 1.914 5.934
Pt 1.914 0.000 1.978

---

[24]
16
Lattice="6.137 0.000 0.000 0.000 6.137 0.000 0.000 0.000 6.137" Properties=species:S:1:pos:R:3 comment="Si2MoPt GGA-PBEsol optimized geometry" m_tot_mub_per_fu=0.0 formation_energy_uncorrected_kcal_per_mol_atoms=3.0 crystal_system=cubic pbc="T T T"
Si 0.000 0.000 0.000
Si 0.000 3.068 3.068
Si 1.534 1.534 1.534
Si 1.534 4.602 4.602
Si 3.068 0.000 3.068
Si 3.068 3.068 0.000
Si 4.602 1.534 4.602
Si 4.602 4.602 1.534
Mo 0.000 0.000 3.068
Mo 0.000 3.068 0.000
Mo 3.068 0.000 0.000
Mo 3.068 3.068 3.068
Pt 1.534 1.534 4.602
Pt 1.534 4.602 1.534
Pt 4.602 1.534 1.534
Pt 4.602 4.602 4.602

---

[25]
5
Lattice="4.744 0.000 0.000 0.000 4.744 0.000 0.000 0.000 4.483" Properties=species:S:1:pos:R:3 comment="Ta2SiMoPt GGA-PBEsol optimized geometry" m_tot_mub_per_fu=0.0 formation_energy_uncorrected_kcal_per_mol_atoms=29.4 crystal_system=tetragonal pbc="T T T"
Ta 0.000 2.372 0.000
Ta 2.372 0.000 0.000
Si 0.000 0.000 2.242
Mo 0.000 0.000 0.000
Pt 2.372 2.372 2.242

---

[26]
5
Lattice="4.749 0.000 0.000 0.000 4.749 0.000 0.000 0.000 4.749" Properties=species:S:1:pos:R:3 comment="SnMo3Pt GGA-PBEsol optimized geometry" ef_ev_per_fu=12.2 m_tot_mub_per_fu=0.0 crystal_system=cubic pbc="T T T"
Sn 0.000 0.000 0.000
Mo 0.000 0.000 2.375
Mo 0.000 2.375 0.000
Mo 2.375 0.000 0.000
Pt 2.375 2.375 2.375

---

[27]
4
Lattice="2.694 0.000 0.000 0.000 4.551 0.000 -0.842 0.000 5.123" Properties=species:S:1:pos:R:3 comment="TaMo2Pt GGA-PBEsol optimized geometry" ef_ev_per_fu=-0.3 m_tot_mub_per_fu=0.0 de_polymorph_mev_per_atom=94 crystal_system=monoclinic pbc="T T T"
Ta 0.000 0.000 0.000
Mo 0.003 2.275 3.874
Mo 1.850 2.275 1.248
Pt 0.926 0.000 2.561

---

[28]
4
Lattice="2.760 0.000 0.000 0.000 2.760 0.000 0.000 0.000 8.187" Properties=species:S:1:pos:R:3 comment="TaMoPt2 GGA-PBEsol optimized geometry" ef_ev_per_fu=-1.4 m_tot_mub_per_fu=0.0 de_polymorph_mev_per_atom=173 crystal_system=tetragonal pbc="T T T"
Ta 0.000 0.000 0.000
Mo 1.380 1.380 2.204
Pt 0.000 0.000 4.091
Pt 1.380 1.380 6.209